Record 1
DFT (GGA-PBE) results for a relaxed structure of MgGaPd.

The structure belongs to space group C2/m (No. 12); the cell edges are 13.940, 3.134 and 4.670 Å and the angles 90.00°, 101.59° and 90.00°. Symmetry generates all atoms from Mg at (0.071, 0.000, 0.284), Ga at (0.246, 0.000, 0.751) and Pd at (0.098, 0.500, 0.805).

The value obtained for the energy of formation from the pure elements is -12.45 kcal/mol of atoms.



Record 2
DFT (GGA-PBE) results for a relaxed structure of LaPbI2O.

The structure belongs to space group P4/mmm (No. 123); the cell edges are 6.387, 6.387 and 4.323 Å and the angles 90.00°, 90.00° and 90.00°. Symmetry generates all atoms from La at (0.000, 0.000, 0.000), Pb at (0.500, 0.500, 0.500), I at (0.000, 0.500, 0.500) and O at (0.500, 0.500, 0.000).

For the uncorrected formation energy, the calculation gives -0.543 eV per atom. The calculation puts the excess energy over the best structure of this formula in the dataset at 776.8 meV/atom.



Record-wise raw total energy values, in eV/cell: -45.73; -19.41